This record from Alexandria describes an optimized crystal structure of BiPRuAuSN. The functional is PBE-GGA.

abc: 3.712 5.290 6.222
angles: 89.23 88.20 73.74
Space group P1 (No. 1)
Symmetry-distinct sites (fractional):
Bi 0.000 0.000 0.000 (multiplicity 1)
P 0.804 0.601 0.481 (multiplicity 1)
Ru 0.314 0.572 0.269 (multiplicity 1)
Au 0.726 0.562 0.865 (multiplicity 1)
S 0.365 0.971 0.422 (multiplicity 1)
N 0.450 0.164 0.216 (multiplicity 1)

## Properties
Energy above the lowest structure with this stoichiometry in meV/atom: 144
V in A^3/atom: 19.5
Electronic total energy in eV/atom: -5.5286


This record from Alexandria describes an optimized crystal structure of BiPRuAuSN. The functional is PBE-GGA.

abc: 3.587 4.609 6.560
angles: 82.68 83.16 88.36
Space group P1 (No. 1)
Symmetry-distinct sites (fractional):
Bi 0.000 0.000 0.000 (multiplicity 1)
P 0.547 0.529 0.732 (multiplicity 1)
Ru 0.067 0.827 0.627 (multiplicity 1)
Au 0.329 0.578 0.271 (multiplicity 1)
S 0.554 0.181 0.525 (multiplicity 1)
N 0.485 0.338 0.973 (multiplicity 1)

## Properties
Energy above the lowest structure with this stoichiometry in meV/atom: 21
V in A^3/atom: 17.8
Electronic total energy in eV/atom: -5.6509


This record from Alexandria describes an optimized crystal structure of BiPRuAuSN. The functional is PBE-GGA.

abc: 3.812 5.525 6.534
angles: 97.02 98.59 106.89
Space group P1 (No. 1)
Symmetry-distinct sites (fractional):
Bi 0.000 0.000 0.000 (multiplicity 1)
P 0.956 0.589 0.423 (multiplicity 1)
Ru 0.361 0.508 0.228 (multiplicity 1)
Au 0.849 0.971 0.545 (multiplicity 1)
S 0.588 0.318 0.557 (multiplicity 1)
N 0.401 0.763 0.060 (multiplicity 1)

## Properties
Energy above the lowest structure with this stoichiometry in meV/atom: 240
V in A^3/atom: 21.4
Electronic total energy in eV/atom: -5.4325


This record from Alexandria describes an optimized crystal structure of BiPRuAuSN. The functional is PBE-GGA.

abc: 4.701 3.681 7.207
angles: 90.00 108.17 90.00
Space group Pm (No. 6)
Symmetry-distinct sites (fractional):
Bi 0.000 0.000 0.000 (multiplicity 1)
P 0.385 0.500 0.737 (multiplicity 1)
Ru 0.606 0.000 0.652 (multiplicity 1)
Au 0.645 0.500 0.221 (multiplicity 1)
S 0.873 0.500 0.553 (multiplicity 1)
N 0.300 0.500 0.952 (multiplicity 1)

## Properties
Energy above the lowest structure with this stoichiometry in meV/atom: 0
V in A^3/atom: 19.7
Electronic total energy in eV/atom: -5.6724


What did the third record say?
This record from Alexandria describes an optimized crystal structure of BiPRuAuSN. The functional is PBE-GGA.

abc: 3.812 5.525 6.534
angles: 97.02 98.59 106.89
Space group P1 (No. 1)
Symmetry-distinct sites (fractional):
Bi 0.000 0.000 0.000 (multiplicity 1)
P 0.956 0.589 0.423 (multiplicity 1)
Ru 0.361 0.508 0.228 (multiplicity 1)
Au 0.849 0.971 0.545 (multiplicity 1)
S 0.588 0.318 0.557 (multiplicity 1)
N 0.401 0.763 0.060 (multiplicity 1)

## Properties
Energy above the lowest structure with this stoichiometry in meV/atom: 240
V in A^3/atom: 21.4
Electronic total energy in eV/atom: -5.4325